1.
Tb2HoCr2C4 GGA-PBE relaxed; total magnetization = 0.0 μB/cell; symmetry = C2/m; ΔE_f = -0.13 eV/atom; N(E_F) = 6.98 states/eV/f.u.; electronic total energy = -7.9074 eV per atom
1.0
-0.0190 0.5224 3.3754
1.2725 -6.6086 -0.6983
5.1142 3.0408 -0.4419
Tb Ho Cr C
2 1 2 4
Direct
0.8656 0.7312 0.4574
0.1344 0.2688 0.5426
0.0000 0.0000 0.0000
0.3202 0.6404 0.0088
0.6798 0.3596 0.9912
0.7845 0.5690 0.8136
0.2155 0.4310 0.1864
0.4549 0.9098 0.2442
0.5451 0.0902 0.7558

2.
HoU2CrC4 GGA-PBE relaxed; total magnetization = 0.0 μB/cell; symmetry = Cmcm; ΔE_f = -0.06 eV/atom; N(E_F) = 10.15 states/eV/f.u.; electronic total energy = -9.2734 eV per atom
1.0
-0.4795 -3.5091 -0.1313
2.1250 1.3024 5.2648
-10.8431 1.3304 4.0474
Ho U Cr C
2 4 2 8
Direct
0.1164 0.2329 0.7500
0.8836 0.7671 0.2500
0.3701 0.7403 0.5484
0.6299 0.2597 0.0484
0.6299 0.2597 0.4516
0.3701 0.7403 0.9516
0.8500 0.7000 0.7500
0.1500 0.3000 0.2500
0.2604 0.5207 0.1253
0.7396 0.4793 0.6253
0.7396 0.4793 0.8747
0.2604 0.5207 0.3747
0.0000 0.0000 0.5000
0.0000 0.0000 0.0000
0.4270 0.8539 0.7500
0.5730 0.1461 0.2500

3.
Ho2UCrC4 GGA-PBE relaxed; total magnetization = 3.7 μB/cell; symmetry = Cmcm; ΔE_f = 0.02 eV/atom; N(E_F) = 5.32 states/eV/f.u.; electronic total energy = -8.3486 eV per atom
1.0
-1.4101 3.0984 -0.3293
-4.4882 -3.9515 -0.2002
-1.1703 0.7283 11.8632
Ho U Cr C
4 2 2 8
Direct
0.3682 0.7365 0.5450
0.6318 0.2635 0.0450
0.6318 0.2635 0.4550
0.3682 0.7365 0.9550
0.0952 0.1903 0.7500
0.9048 0.8097 0.2500
0.8301 0.6601 0.7500
0.1699 0.3399 0.2500
0.2742 0.5484 0.1380
0.7258 0.4516 0.6380
0.7258 0.4516 0.8620
0.2742 0.5484 0.3620
0.0000 0.0000 0.5000
0.0000 0.0000 0.0000
0.4285 0.8570 0.7500
0.5715 0.1430 0.2500

4.
Y2HoCr2C4 GGA-PBE relaxed; total magnetization = 0.0 μB/cell; symmetry = C2/m; ΔE_f = -0.13 eV/atom; N(E_F) = 7.04 states/eV/f.u.; electronic total energy = -8.3124 eV per atom
1.0
-2.7138 -2.0206 0.4577
5.3050 -4.1657 0.3295
-0.9211 2.4500 5.3551
Y Ho Cr C
2 1 2 4
Direct
0.8652 0.7304 0.4572
0.1348 0.2696 0.5428
0.0000 0.0000 0.0000
0.3205 0.6410 0.0111
0.6795 0.3590 0.9890
0.7846 0.5693 0.8127
0.2154 0.4307 0.1873
0.4563 0.9126 0.2462
0.5437 0.0874 0.7538